No. 1
Entry from Alexandria via LeMat-Bulk: a relaxed Pr4Zn2Hg5 crystal (PBE-GGA).

## Properties
Space-group type: P2/m (10)
ΔE_f: -0.37 eV/atom
D(E_F): 0.865 states/eV per atom

abc: 8.046 3.830 9.613
angles: 90.00 93.15 90.00
Positions (direct):
Pr (0.204, 0.000, 0.142)
Pr (0.258, 0.000, 0.609)
Pr (0.742, 0.000, 0.391)
Pr (0.796, 0.000, 0.858)
Zn (0.062, 0.500, 0.382)
Zn (0.938, 0.500, 0.618)
Hg (0.135, 0.500, 0.869)
Hg (0.410, 0.500, 0.355)
Hg (0.500, 0.500, 0.000)
Hg (0.590, 0.500, 0.645)
Hg (0.865, 0.500, 0.131)


No. 2
Entry from Alexandria via LeMat-Bulk: a relaxed LiNdSm crystal (PBE-GGA).

## Properties
Space-group type: C2/m (12)
ΔE_f: 0.04 eV/atom
D(E_F): 1.180 states/eV per atom
Energy relative to the lowest polymorph listed for this composition: 0 meV/atom

abc: 3.674 3.674 13.263
angles: 90.08 90.08 90.28
Positions (direct):
Li (0.249, 0.249, 0.050)
Li (0.751, 0.751, 0.950)
Nd (0.252, 0.252, 0.785)
Nd (0.748, 0.748, 0.215)
Sm (0.249, 0.249, 0.402)
Sm (0.751, 0.751, 0.598)


No. 3
Entry from Alexandria via LeMat-Bulk: a relaxed K5ThO4 crystal (PBE-GGA).

## Properties
Space-group type: C2/m (12)
D(E_F): 0.152 states/eV per atom
Formation energy (no corrections): -1839 meV per atom

abc: 9.329 9.329 7.676
angles: 96.82 96.82 23.34
Positions (direct):
K (0.000, 0.000, 0.000)
K (0.343, 0.343, 0.662)
K (0.350, 0.350, 0.226)
K (0.650, 0.650, 0.774)
K (0.657, 0.657, 0.338)
Th (0.000, 0.000, 0.500)
O (0.124, 0.124, 0.544)
O (0.498, 0.498, 0.704)
O (0.502, 0.502, 0.296)
O (0.876, 0.876, 0.456)


No. 4
Entry from Alexandria via LeMat-Bulk: a relaxed Mg2Br crystal (PBE-GGA).

## Properties
Space-group type: Immm (71)
D(E_F): 0.295 states/eV per atom
Energy relative to the lowest polymorph listed for this composition: 50 meV/atom
Formation energy (no corrections): -465 meV per atom

abc: 6.644 6.644 6.644
angles: 148.87 147.75 45.43
Positions (direct):
Mg (0.179, 0.179, 0.000)
Mg (0.821, 0.821, 0.000)
Br (0.000, 0.500, 0.500)


no.,E_tot (eV/atom)
1,-2.4809
2,-3.7554
3,-5.1128
4,-2.0856